Entry 1:
Here is a relaxed Re2MoAs4 crystal from Alexandria via LeMat-Bulk. Energies are from GGA-PBE.

The structure belongs to space group C2/m (No. 12); the cell edges are 13.281, 3.121 and 6.352 Å and the angles 90.00°, 113.70° and 90.00°. The inequivalent atoms are Re at (0.241, 0.000, 0.179), Mo at (0.000, 0.500, 0.500), As at (0.095, 0.500, 0.937) and As at (0.147, 0.000, 0.467).

For the magnetization, the calculation gives 0.00 μB/f.u. Its calculated formation energy is -110 meV per atom.

---

Entry 2:
Here is a relaxed ReMo2As crystal from Alexandria via LeMat-Bulk. Energies are from GGA-PBE.

The structure belongs to space group P4/mmm (No. 123); the cell edges are 4.489, 4.489 and 3.067 Å and the angles 90.00°, 90.00° and 90.00°. The inequivalent atoms are Re at (0.000, 0.000, 0.000), Mo at (0.000, 0.500, 0.500) and As at (0.500, 0.500, 0.000).

For the magnetization, the calculation gives 0.00 μB/f.u. Its calculated formation energy is 218 meV per atom.